! PBE-GGA ZnSnIO2, optimized geometry; values from VASP
&SYSTEM
  ibrav = 0, nat = 5, ntyp = 4
/
ATOMIC_SPECIES
I 126.90 I.upf
Zn 65.41 Zn.upf
Sn 118.71 Sn.upf
O 16.00 O.upf
CELL_PARAMETERS angstrom
-2.635 -0.609 2.995
2.532 -2.649 1.689
2.806 4.890 3.463
ATOMIC_POSITIONS crystal
I 0.000 0.000 0.500
Zn 0.500 0.500 0.500
Sn 0.000 0.000 0.000
O 0.000 0.500 0.000
O 0.500 0.000 0.000
! magnetization	0.00	μB per formula unit
! raw formation energy	-0.479	eV per atom
! excess energy over the best structure of this formula in the dataset	0.0000	eV per atom
! SG	P4/mmm, No. 123
! E_tot	-3.828	eV per atom


! PBE-GGA ZnSnI2O, optimized geometry; values from VASP
&SYSTEM
  ibrav = 0, nat = 5, ntyp = 4
/
ATOMIC_SPECIES
I 126.90 I.upf
Zn 65.41 Zn.upf
Sn 118.71 Sn.upf
O 16.00 O.upf
CELL_PARAMETERS angstrom
5.910 0.000 0.000
0.000 5.910 0.000
0.000 0.000 3.742
ATOMIC_POSITIONS crystal
I 0.000 0.500 0.000
I 0.500 0.000 0.000
Zn 0.000 0.000 0.000
Sn 0.500 0.500 0.500
O 0.000 0.000 0.500
! magnetization	0.27	μB per formula unit
! raw formation energy	-0.313	eV per atom
! excess energy over the best structure of this formula in the dataset	0.0000	eV per atom
! SG	P4/mmm, No. 123
! E_tot	-2.980	eV per atom


! PBE-GGA ZnSnIO2, optimized geometry; values from VASP
&SYSTEM
  ibrav = 0, nat = 5, ntyp = 4
/
ATOMIC_SPECIES
I 126.90 I.upf
Zn 65.41 Zn.upf
Sn 118.71 Sn.upf
O 16.00 O.upf
CELL_PARAMETERS angstrom
-4.124 0.155 0.899
0.674 -2.284 3.488
0.787 4.548 2.826
ATOMIC_POSITIONS crystal
I 0.000 0.000 0.500
Zn 0.000 0.000 0.000
Sn 0.500 0.500 0.500
O 0.000 0.500 0.000
O 0.500 0.000 0.000
! magnetization	0.00	μB per formula unit
! raw formation energy	-0.038	eV per atom
! excess energy over the best structure of this formula in the dataset	0.4409	eV per atom
! SG	P4/mmm, No. 123
! E_tot	-3.387	eV per atom


! PBE-GGA ZrSnIO2, optimized geometry; values from VASP
&SYSTEM
  ibrav = 0, nat = 5, ntyp = 4
/
ATOMIC_SPECIES
I 126.90 I.upf
O 16.00 O.upf
Sn 118.71 Sn.upf
Zr 91.22 Zr.upf
CELL_PARAMETERS angstrom
4.143 0.000 0.000
0.000 6.205 0.000
0.000 0.000 4.143
ATOMIC_POSITIONS crystal
I 0.000 0.000 0.000
O 0.000 0.000 0.500
O 0.500 0.000 0.000
Sn 0.000 0.500 0.000
Zr 0.500 0.500 0.500
! magnetization	0.00	μB per formula unit
! raw formation energy	0.212	eV per atom
! excess energy over the best structure of this formula in the dataset	1.4404	eV per atom
! SG	P4/mmm, No. 123
! E_tot	-4.591	eV per atom


! PBE-GGA ZrSnIO2, optimized geometry; values from VASP
&SYSTEM
  ibrav = 0, nat = 5, ntyp = 4
/
ATOMIC_SPECIES
I 126.90 I.upf
O 16.00 O.upf
Sn 118.71 Sn.upf
Zr 91.22 Zr.upf
CELL_PARAMETERS angstrom
-3.844 -1.486 -0.252
0.453 -0.483 -4.076
2.191 -5.826 0.934
ATOMIC_POSITIONS crystal
I 0.000 0.000 0.500
O 0.000 0.500 0.000
O 0.500 0.000 0.000
Sn 0.000 0.000 0.000
Zr 0.500 0.500 0.500
! magnetization	1.75	μB per formula unit
! raw formation energy	-0.213	eV per atom
! excess energy over the best structure of this formula in the dataset	1.0146	eV per atom
! SG	P4/mmm, No. 123
! E_tot	-5.017	eV per atom


! PBE-GGA ZrSnIO2, optimized geometry; values from VASP
&SYSTEM
  ibrav = 0, nat = 5, ntyp = 4
/
ATOMIC_SPECIES
I 126.90 I.upf
O 16.00 O.upf
Sn 118.71 Sn.upf
Zr 91.22 Zr.upf
CELL_PARAMETERS angstrom
-4.154 -0.699 -0.590
0.851 -1.945 -3.686
0.485 -5.365 2.942
ATOMIC_POSITIONS crystal
I 0.000 0.000 0.500
O 0.000 0.500 0.000
O 0.500 0.000 0.000
Sn 0.500 0.500 0.500
Zr 0.000 0.000 0.000
! magnetization	0.77	μB per formula unit
! raw formation energy	-1.228	eV per atom
! excess energy over the best structure of this formula in the dataset	0.0000	eV per atom
! SG	P4/mmm, No. 123
! E_tot	-6.031	eV per atom


What is the E_tot in the third record? -3.387 eV per atom


Look up the magnetization of the sixth one. 0.77 μB per formula unit


Which of these has the lowest raw formation energy? number 6